Entry 1:
## MgSnTeN2 (PBE)

Data for an optimized crystal structure of MgSnTeN2.

**Calculated volume**: 21.987 A^3/atom
**ΔE_f (raw)**: 1.095 eV/atom
**Space group**: P4/mmm

Cell lengths 4.3378, 4.3378, 5.8425 Å; angles 90.00, 90.00, 90.00 degrees
Last column: nearest neighbours and their distance in Å.
Fractional coordinates of all 5 atoms:
1 Sn 0.5000 0.5000 0.5000  4 Te 3.07
2 Te 0.0000 0.0000 0.5000  2 Mg 2.92, 4 Sn 3.07
3 Mg 0.0000 0.0000 0.0000  4 N 2.17
4 N 0.0000 0.5000 0.0000  2 Mg 2.17
5 N 0.5000 0.0000 0.0000  2 Mg 2.17

Entry 2:
## Rb3Nb2Br9 (PBE)

Data for an optimized crystal structure of Rb3Nb2Br9.

**Calculated volume**: 34.655 A^3/atom
**ΔE_f (raw)**: -1.272 eV/atom
**Space group**: P6_3/mmc

Cell lengths 7.8253, 7.8253, 18.2974 Å; angles 90.00, 90.00, 120.00 degrees
Last column: nearest neighbours and their distance in Å.
Fractional coordinates of all 28 atoms:
1 Br 0.0108 0.5054 0.2500  2 Nb 2.70
2 Br 0.5054 0.0108 0.7500  2 Nb 2.70
3 Br 0.3476 0.1738 0.4054  1 Nb 2.63
4 Br 0.1738 0.8262 0.9054  1 Nb 2.63
5 Br 0.9892 0.4946 0.7500  2 Nb 2.70
6 Br 0.1738 0.3476 0.9054  1 Nb 2.63
7 Br 0.5054 0.4946 0.7500  2 Nb 2.70
8 Br 0.6524 0.8262 0.9054  1 Nb 2.63
9 Br 0.4946 0.9892 0.2500  2 Nb 2.70
10 Br 0.8262 0.6524 0.0946  1 Nb 2.63
11 Br 0.8262 0.1738 0.0946  1 Nb 2.63
12 Br 0.8262 0.6524 0.4054  1 Nb 2.63
13 Br 0.6524 0.8262 0.5946  1 Nb 2.63
14 Br 0.3476 0.1738 0.0946  1 Nb 2.63
15 Br 0.1738 0.3476 0.5946  1 Nb 2.63
16 Br 0.4946 0.5054 0.2500  2 Nb 2.70
17 Br 0.1738 0.8262 0.5946  1 Nb 2.63
18 Br 0.8262 0.1738 0.4054  1 Nb 2.63
19 Nb 0.3333 0.6667 0.6761  6 Br 2.63-2.70, 1 Nb 2.71
20 Nb 0.6667 0.3333 0.3239  6 Br 2.63-2.70, 1 Nb 2.71
21 Nb 0.3333 0.6667 0.8239  6 Br 2.63-2.70, 1 Nb 2.71
22 Nb 0.6667 0.3333 0.1761  6 Br 2.63-2.70, 1 Nb 2.71
23 Rb 0.6667 0.3333 0.5648  12 Br 3.63-4.03
24 Rb 0.0000 0.0000 0.2500  12 Br 3.69-3.91
25 Rb 0.6667 0.3333 0.9352  12 Br 3.63-4.03
26 Rb 0.3333 0.6667 0.0648  12 Br 3.63-4.03
27 Rb 0.3333 0.6667 0.4352  12 Br 3.63-4.03
28 Rb 0.0000 0.0000 0.7500  12 Br 3.69-3.91